! NaMnBr3, relaxed, DFT PBE-GGA; values from VASP
! Relative energy among the computed polymorphs   0.1455 eV/atom
! Final energy   -4.04 eV/atom
! Crystal system   cubic
&SYSTEM
  ibrav = 0, nat = 5, ntyp = 3
/
ATOMIC_SPECIES
Br 79.90 Br.upf
Mn 54.94 Mn.upf
Na 22.99 Na.upf
ATOMIC_POSITIONS crystal
Br 0.000 0.500 0.000
Br 0.000 0.000 0.500
Br 0.500 0.000 0.000
Mn 0.000 0.000 0.000
Na 0.500 0.500 0.500
CELL_PARAMETERS angstrom
-1.178 4.378 2.785
-4.999 -0.192 -1.813
-1.391 -3.018 4.155